The following is a PBE calculation of crystalline CeTh4In4 at its relaxed geometry, from Alexandria via LeMat-Bulk.

Values from the calculation:
Raw total energy: -90.94 eV for the cell shown
Total magnetic moment: 1.418 μB per formula unit
ΔH_f (0 K): 0.1219 eV per atom

a b c (Å): 9.740 9.740 6.463
angles (deg): 90.00 90.00 90.00
Positions (direct):
1 Ce 0.250 0.250 0.250
2 Ce 0.750 0.750 0.750
3 Th 0.074 0.654 0.108
4 Th 0.154 0.926 0.608
5 Th 0.346 0.574 0.608
6 Th 0.426 0.846 0.108
7 Th 0.574 0.154 0.892
8 Th 0.654 0.426 0.392
9 Th 0.846 0.074 0.392
10 Th 0.926 0.346 0.892
11 In 0.020 0.625 0.608
12 In 0.125 0.980 0.108
13 In 0.375 0.520 0.108
14 In 0.480 0.875 0.608
15 In 0.520 0.125 0.392
16 In 0.625 0.480 0.892
17 In 0.875 0.020 0.892
18 In 0.980 0.375 0.392